Version w
{
  "formula": "Li2Fe3CuO8",
  "functional": "GGA-PBEsol",
  "state": "optimized geometry",
  "lattice": [[2.789, 1.610, 4.785], [-2.789, 1.610, 4.785], [0.000, -3.221, 4.785]],
  "species": ["Li", "Li", "Fe", "Fe", "Fe", "Cu", "O", "O", "O", "O", "O", "O", "O", "O"],
  "fractional_positions": [[0.000, 0.000, 0.000], [0.374, 0.374, 0.374], [0.499, 0.994, 0.994], [0.994, 0.499, 0.994], [0.994, 0.994, 0.499], [0.620, 0.620, 0.620], [0.208, 0.751, 0.751], [0.233, 0.233, 0.233], [0.249, 0.249, 0.787], [0.249, 0.787, 0.249], [0.751, 0.208, 0.751], [0.751, 0.751, 0.208], [0.755, 0.755, 0.755], [0.787, 0.249, 0.249]],
  "density_g_cm3": 4.801
}

Version x
{
  "formula": "Li2Fe3CuO8",
  "functional": "GGA-PBEsol",
  "state": "optimized geometry",
  "lattice": [[8.034, 0.000, 0.000], [0.000, 8.034, 0.000], [0.000, 0.000, 8.034]],
  "species": ["Li", "Li", "Li", "Li", "Li", "Li", "Li", "Li", "Fe", "Fe", "Fe", "Fe", "Fe", "Fe", "Fe", "Fe", "Fe", "Fe", "Fe", "Fe", "Cu", "Cu", "Cu", "Cu", "O", "O", "O", "O", "O", "O", "O", "O", "O", "O", "O", "O", "O", "O", "O", "O", "O", "O", "O", "O", "O", "O", "O", "O", "O", "O", "O", "O", "O", "O", "O", "O"],
  "fractional_positions": [[0.123, 0.123, 0.123], [0.243, 0.757, 0.257], [0.257, 0.243, 0.757], [0.377, 0.877, 0.623], [0.623, 0.377, 0.877], [0.743, 0.743, 0.743], [0.757, 0.257, 0.243], [0.877, 0.623, 0.377], [0.117, 0.869, 0.876], [0.124, 0.617, 0.631], [0.131, 0.376, 0.383], [0.369, 0.624, 0.883], [0.376, 0.383, 0.131], [0.383, 0.131, 0.376], [0.617, 0.631, 0.124], [0.624, 0.883, 0.369], [0.631, 0.124, 0.617], [0.869, 0.876, 0.117], [0.876, 0.117, 0.869], [0.883, 0.369, 0.624], [0.010, 0.990, 0.490], [0.490, 0.010, 0.990], [0.510, 0.510, 0.510], [0.990, 0.490, 0.010], [0.094, 0.869, 0.105], [0.105, 0.094, 0.869], [0.119, 0.381, 0.619], [0.121, 0.846, 0.642], [0.130, 0.630, 0.870], [0.131, 0.605, 0.406], [0.142, 0.379, 0.154], [0.154, 0.142, 0.379], [0.346, 0.858, 0.879], [0.358, 0.621, 0.654], [0.369, 0.395, 0.906], [0.370, 0.370, 0.370], [0.379, 0.154, 0.142], [0.381, 0.619, 0.119], [0.395, 0.906, 0.369], [0.406, 0.131, 0.605], [0.594, 0.631, 0.895], [0.605, 0.406, 0.131], [0.619, 0.119, 0.381], [0.621, 0.654, 0.358], [0.630, 0.870, 0.130], [0.631, 0.895, 0.594], [0.642, 0.121, 0.846], [0.654, 0.358, 0.621], [0.846, 0.642, 0.121], [0.858, 0.879, 0.346], [0.869, 0.105, 0.094], [0.870, 0.130, 0.630], [0.879, 0.346, 0.858], [0.881, 0.881, 0.881], [0.895, 0.594, 0.631], [0.906, 0.369, 0.395]],
  "density_g_cm3": 4.777
}

Which structure is most stable? version x, by 0.025 eV/atom over the runner-up.

Version w
{
  "formula": "Li2FeCuO4",
  "functional": "GGA-PBEsol",
  "state": "optimized geometry",
  "lattice": [[-2.012, 2.012, 4.131], [2.012, -2.012, 4.131], [2.012, 2.012, -4.131]],
  "species": ["Li", "Li", "Fe", "Cu", "O", "O", "O", "O"],
  "fractional_positions": [[0.000, 0.000, 0.000], [0.750, 0.250, 0.500], [0.500, 0.500, 0.000], [0.250, 0.750, 0.500], [0.009, 0.509, 0.500], [0.278, 0.278, 0.000], [0.491, 0.991, 0.500], [0.722, 0.722, 0.000]],
  "density_g_cm3": 4.898
}

Version x
{
  "formula": "Li2FeCuO4",
  "functional": "GGA-PBEsol",
  "state": "optimized geometry",
  "lattice": [[5.158, 0.000, 0.000], [0.000, 2.747, 0.000], [-2.532, 0.000, 4.864]],
  "species": ["Li", "Li", "Fe", "Cu", "O", "O", "O", "O"],
  "fractional_positions": [[0.000, 0.000, 0.000], [0.500, 0.500, 0.500], [0.000, 0.000, 0.500], [0.500, 0.500, 0.000], [0.051, 0.500, 0.288], [0.406, 0.000, 0.731], [0.594, 0.000, 0.269], [0.949, 0.500, 0.712]],
  "density_g_cm3": 4.753
}

Which structure is most stable? version x, by 0.045 eV/atom over the runner-up.

Version w
{
  "formula": "FeCuMo2",
  "functional": "GGA-PBEsol",
  "state": "optimized geometry",
  "lattice": [[0.000, 2.982, 2.982], [2.982, 0.000, 2.982], [2.982, 2.982, 0.000]],
  "species": ["Fe", "Cu", "Mo", "Mo"],
  "fractional_positions": [[0.000, 0.000, 0.000], [0.500, 0.500, 0.500], [0.250, 0.250, 0.250], [0.750, 0.750, 0.750]],
  "density_g_cm3": 9.742
}

Version x
{
  "formula": "FeCuMo2",
  "functional": "GGA-PBEsol",
  "state": "optimized geometry",
  "lattice": [[-1.869, 1.869, 3.727], [1.869, -1.869, 3.727], [1.869, 1.869, -3.727]],
  "species": ["Fe", "Cu", "Mo", "Mo"],
  "fractional_positions": [[0.000, 0.000, 0.000], [0.500, 0.500, 0.000], [0.250, 0.750, 0.500], [0.750, 0.250, 0.500]],
  "density_g_cm3": 9.923
}

Version y
{
  "formula": "FeCuMo2",
  "functional": "GGA-PBEsol",
  "state": "optimized geometry",
  "lattice": [[-1.879, 1.879, 3.757], [1.879, -1.879, 3.757], [1.879, 1.879, -3.757]],
  "species": ["Fe", "Cu", "Mo", "Mo"],
  "fractional_positions": [[0.000, 0.000, 0.000], [0.250, 0.750, 0.500], [0.500, 0.500, 0.000], [0.750, 0.250, 0.500]],
  "density_g_cm3": 9.739
}

Which structure is most stable? version x, by 0.065 eV/atom over the runner-up.